# PBE with a Hubbard U Li2MnP2O7, relaxed
# Magnetic moment   5.00 μB/f.u.
# N(E_F)   0.0000 states/eV/atom
# Excess energy over the best structure of this formula in the dataset   0.0 meV per atom
data_Li2MnP2O7
_cell_length_a 5.046
_cell_length_b 13.151
_cell_length_c 9.550
_cell_angle_alpha 90.00
_cell_angle_beta 118.95
_cell_angle_gamma 90.00
_space_group_name_H-M_alt 'P 1 21/c 1'
_space_group_IT_number 14
loop_
_space_group_symop_operation_xyz
'x,y,z'
'-x,-y,-z'
'-x,y+1/2,-z+1/2'
'x,-y+1/2,z+1/2'
loop_
_atom_site_label
_atom_site_type_symbol
_atom_site_fract_x
_atom_site_fract_y
_atom_site_fract_z
Li1 Li 0.035 0.197 0.352
Li2 Li 0.388 0.644 0.658
Mn1 Mn 0.370 0.129 0.143
P1 P 0.045 0.030 0.778
P2 P 0.271 0.691 0.956
O1 O 0.049 0.737 0.477
O2 O 0.105 0.582 0.899
O3 O 0.172 0.570 0.256
O4 O 0.209 0.516 0.679
O5 O 0.287 0.105 0.894
O6 O 0.344 0.728 0.825
O7 O 0.444 0.176 0.383